Record 1
This record from Alexandria describes a geometry-optimized BaTa2Cl structure. The functional is GGA-PBE.

Calculated values
Energy in eV/f.u.: -25.995

a b c (Å): 5.6804 14.4891 3.3398
angles (deg): 90.00 125.82 90.00
With the nearest neighbours (Å) after each atom.
Space group C2/m (No. 12)
Unique sites:
Ba: 0.0000 0.0000 0.0000 (multiplicity 2)  4 Cl 2.84-2.85
Ta: 0.2500 0.2500 0.5000 (multiplicity 4)  4 Ta 2.84-2.85
Cl: 0.0000 0.5000 0.0000 (multiplicity 2)  4 Ba 2.84-2.85



Record 2
This record from Alexandria describes a geometry-optimized Ba4TaCl structure. The functional is GGA-PBE.

Calculated values
Energy in eV/f.u.: -16.377

a b c (Å): 10.3237 10.3237 10.3237
angles (deg): 90.00 90.00 90.00
With the nearest neighbours (Å) after each atom.
Space group F-43m (No. 216)
Unique sites:
Ba: 0.1243 0.1243 0.3757 (multiplicity 16)  6 Ba 3.63-3.67
Ta: 0.2500 0.2500 0.7500 (multiplicity 4)  12 Ba 4.28, 4 Cl 4.47
Cl: 0.0000 0.0000 0.0000 (multiplicity 4)  12 Ba 4.28, 4 Ta 4.47



Record 3
This record from Alexandria describes a geometry-optimized Ba2TaCl structure. The functional is GGA-PBE.

Calculated values
Energy in eV/f.u.: -16.961

a b c (Å): 4.6971 4.6971 6.5902
angles (deg): 90.00 90.00 90.00
With the nearest neighbours (Å) after each atom.
Space group P4mm (No. 99)
Unique sites:
Ba: 0.0000 0.0000 0.0000 (multiplicity 1)  2 Ta 3.29-3.30, 4 Cl 3.32
Ba: 0.5000 0.5000 0.4989 (multiplicity 1)  2 Cl 3.29-3.30, 4 Ta 3.32
Ta: 0.0000 0.0000 0.4999 (multiplicity 1)  6 Ba 3.29-3.32
Cl: 0.5000 0.5000 0.9992 (multiplicity 1)  6 Ba 3.29-3.32



Record 4
This record from Alexandria describes a geometry-optimized Ba2TaCl structure. The functional is GGA-PBE.

Calculated values
Energy in eV/f.u.: -16.077

a b c (Å): 4.6702 4.6702 13.6792
angles (deg): 90.00 90.00 90.00
With the nearest neighbours (Å) after each atom.
Space group I-4m2 (No. 119)
Unique sites:
Ba: 0.0000 0.0000 0.0000 (multiplicity 2)  4 Ta 3.30
Ba: 0.0000 0.5000 0.2500 (multiplicity 2)  4 Cl 3.30
Ta: 0.0000 0.0000 0.5000 (multiplicity 2)  4 Ba 3.30
Cl: 0.0000 0.5000 0.7500 (multiplicity 2)  4 Ba 3.30



Record 5
This record from Alexandria describes a geometry-optimized BaTaCl structure. The functional is GGA-PBE.

Calculated values
Energy in eV/f.u.: -12.461

a b c (Å): 7.9927 7.9927 7.9927
angles (deg): 90.00 90.00 90.00
With the nearest neighbours (Å) after each atom.
Space group F-43m (No. 216)
Unique sites:
Ba: 0.0000 0.0000 0.0000 (multiplicity 4)  4 Ta 3.46, 4 Cl 3.46
Ta: 0.2500 0.2500 0.7500 (multiplicity 4)  4 Ba 3.46
Cl: 0.2500 0.2500 0.2500 (multiplicity 4)  4 Ba 3.46



Record 6
This record from Alexandria describes a geometry-optimized Ba3TaCl structure. The functional is GGA-PBE.

Calculated values
Energy in eV/f.u.: -18.242

a b c (Å): 5.9911 5.9911 5.9911
angles (deg): 90.00 90.00 90.00
With the nearest neighbours (Å) after each atom.
Space group Pm-3m (No. 221)
Unique sites:
Ba: 0.0000 0.0000 0.5000 (multiplicity 3)  2 Cl 3.00
Ta: 0.5000 0.5000 0.5000 (multiplicity 1)  12 Ba 4.24
Cl: 0.0000 0.0000 0.0000 (multiplicity 1)  6 Ba 3.00



- What is the formula in the first record?
  BaTa2Cl